# Zr5Ge2Bi

A geometry-optimized Zr5Ge2Bi structure (PBE, the Alexandria database).

Computed properties:
* mass density: 7.9 Mg/m³
* total DFT energy (no corrections): -7.645 eV per atom
* space-group type: I4/mcm (140)

abc: 8.2715 8.2715 8.2715
angles: 128.13 128.13 76.41
Fractional positions:
Zr 0.0000 0.0000 0.0000
Zr 0.0156 0.5156 0.8185
Zr 0.1971 0.0156 0.5000
Zr 0.3029 0.8029 0.8185
Zr 0.4844 0.3029 0.5000
Zr 0.5000 0.5000 0.0000
Zr 0.5156 0.6971 0.5000
Zr 0.6971 0.1971 0.1815
Zr 0.8029 0.9844 0.5000
Zr 0.9844 0.4844 0.1815
Ge 0.1387 0.3613 0.5000
Ge 0.3613 0.8613 0.2225
Ge 0.6387 0.1387 0.7775
Ge 0.8613 0.6387 0.5000
Bi 0.2500 0.2500 0.0000
Bi 0.7500 0.7500 0.0000